# Y3PPt

Y3PPt at its PBEsol-relaxed geometry (meta-GGA SCAN, Alexandria via LeMat-Bulk).

Structure (POSCAR):
```
Y3PPt
1.0
-0.883 1.130 -4.884
4.515 -1.977 -1.273
-2.180 -4.553 -0.659
Y P Pt
3 1 1
direct
0.000 0.500 0.000 Y
0.000 0.000 0.500 Y
0.500 0.000 0.000 Y
0.000 0.000 0.000 P
0.500 0.500 0.500 Pt
```

Results
E_form   -59.1 kJ/mol of atoms
DFT total energy   -167.18 eV per formula unit
D(E_F)   4.89 states/eV per cell
Total magnetic moment   1.961 μB per formula unit
Space group   Pm-3m



# RbFe3Se

RbFe3Se at its PBEsol-relaxed geometry (meta-GGA SCAN, Alexandria via LeMat-Bulk).

Structure (POSCAR):
```
RbFe3Se
1.0
4.573 0.000 0.000
0.000 4.573 0.000
0.000 0.000 4.573
Se Rb Fe
1 1 3
direct
0.000 0.000 0.000 Se
0.500 0.500 0.500 Rb
0.000 0.500 0.000 Fe
0.000 0.000 0.500 Fe
0.500 0.000 0.000 Fe
```

Results
DFT total energy   -90.99 eV per formula unit
D(E_F)   5.40 states/eV per cell
Total magnetic moment   7.015 μB per formula unit
Space group   Pm-3m
Raw formation energy   844 meV/atom



# KFeRe

KFeRe at its PBEsol-relaxed geometry (meta-GGA SCAN, Alexandria via LeMat-Bulk).

Structure (POSCAR):
```
KFeRe
1.0
-0.372 -0.849 -2.527
-1.375 -1.517 1.747
-5.265 5.942 -0.307
Fe K Re
1 1 1
direct
0.977 0.977 0.955 Fe
0.666 0.666 0.332 K
0.356 0.356 0.713 Re
```

Results
E_form   93.6 kJ/mol of atoms
DFT total energy   -94.65 eV per formula unit
D(E_F)   2.65 states/eV per cell
Total magnetic moment   2.984 μB per formula unit
Space group   Fmm2



# AgPb

AgPb at its PBEsol-relaxed geometry (meta-GGA SCAN, Alexandria via LeMat-Bulk).

Structure (POSCAR):
```
AgPb
1.0
3.313 0.000 0.000
0.000 5.187 -0.044
-1.657 -1.733 5.262
Pb Ag
2 2
direct
0.608 0.822 0.216 Pb
0.392 0.178 0.784 Pb
0.148 0.346 0.296 Ag
0.852 0.654 0.704 Ag
```

Results
E_form   11.4 kJ/mol of atoms
DFT total energy   -106.91 eV per formula unit
D(E_F)   1.44 states/eV per cell
Total magnetic moment   0.000 μB per formula unit
Space group   C2/m



# HfTiFe4

HfTiFe4 at its PBEsol-relaxed geometry (meta-GGA SCAN, Alexandria via LeMat-Bulk).

Structure (POSCAR):
```
HfTiFe4
1.0
-4.265 1.559 1.430
3.016 -1.907 3.151
3.029 7.037 1.360
Hf Ti Fe
2 2 8
direct
0.333 0.667 0.571 Hf
0.667 0.333 0.429 Hf
0.667 0.333 0.055 Ti
0.333 0.667 0.945 Ti
0.000 0.000 0.500 Fe
0.000 0.000 0.000 Fe
0.338 0.169 0.756 Fe
0.831 0.662 0.756 Fe
0.831 0.169 0.756 Fe
0.662 0.831 0.244 Fe
0.169 0.338 0.244 Fe
0.169 0.831 0.244 Fe
```

Results
E_form   -25.4 kJ/mol of atoms
DFT total energy   -152.80 eV per formula unit
D(E_F)   6.18 states/eV per cell
Total magnetic moment   6.630 μB per formula unit
Space group   P-3m1



# K2LiBiBr6

K2LiBiBr6 at its PBEsol-relaxed geometry (meta-GGA SCAN, Alexandria via LeMat-Bulk).

Structure (POSCAR):
```
K2LiBiBr6
1.0
7.732 0.000 0.000
3.866 6.697 0.000
3.866 2.232 6.314
K Bi Br Li
2 1 6 1
direct
0.750 0.750 0.750 K
0.250 0.250 0.250 K
0.000 0.000 0.000 Bi
0.743 0.257 0.257 Br
0.743 0.743 0.257 Br
0.257 0.743 0.743 Br
0.743 0.257 0.743 Br
0.257 0.743 0.257 Br
0.257 0.257 0.743 Br
0.500 0.500 0.500 Li
```

Results
DFT total energy   -228.07 eV per formula unit
D(E_F)   0.00 states/eV per cell
Total magnetic moment   0.000 μB per formula unit
Space group   Fm-3m
Raw formation energy   -1368 meV/atom



# BaCa2Au

BaCa2Au at its PBEsol-relaxed geometry (meta-GGA SCAN, Alexandria via LeMat-Bulk).

Structure (POSCAR):
```
BaCa2Au
1.0
-2.424 1.195 -2.914
0.853 -6.395 -0.621
-4.631 2.195 4.753
Ca Au Ba
2 1 1
direct
0.015 0.029 0.968 Ca
0.827 0.655 0.273 Ca
0.468 0.936 0.624 Au
0.190 0.380 0.635 Ba
```

Results
Energy above the lowest structure with this stoichiometry   0.03 eV/f.u.
E_form   -45.0 kJ/mol of atoms
DFT total energy   -129.90 eV per formula unit
D(E_F)   3.44 states/eV per cell
Total magnetic moment   0.046 μB per formula unit
Space group   Cm



# TlIr2Cl

TlIr2Cl at its PBEsol-relaxed geometry (meta-GGA SCAN, Alexandria via LeMat-Bulk).

Structure (POSCAR):
```
TlIr2Cl
1.0
2.832 0.000 0.000
-1.416 3.969 -0.050
0.000 -2.034 7.652
Tl Ir Cl
1 2 1
direct
0.538 0.075 0.462 Tl
0.886 0.771 0.064 Ir
0.195 0.391 0.197 Ir
0.881 0.763 0.777 Cl
```

Results
Energy above the lowest structure with this stoichiometry   0.00 eV/f.u.
DFT total energy   -221.29 eV per formula unit
D(E_F)   2.36 states/eV per cell
Total magnetic moment   0.000 μB per formula unit
Space group   Cm
Raw formation energy   311 meV/atom